Tb3Sm2Ni2: relaxed, PBE.

Unit cell a=6.3806 b=6.3806 c=9.0413 alpha=115.22 beta=115.22 gamma=33.21
Sites, in units of the cell vectors:
Tb 0.0000 0.0000 0.0000
Tb 0.1160 0.1160 0.4321
Tb 0.8840 0.8840 0.5679
Sm 0.3348 0.3348 0.1912
Sm 0.6652 0.6652 0.8088
Ni 0.3310 0.3310 0.7617
Ni 0.6690 0.6690 0.2383

Calculated values
The energy relative to the elements is -0.23 eV/atom. The value obtained for the density of states at the Fermi level is 9.0 states/eV/cell.



BeHO2F: relaxed, PBE.

Unit cell a=2.8939 b=2.8939 c=4.1551 alpha=90.00 beta=90.00 gamma=90.00
Sites, in units of the cell vectors:
Be 0.0000 0.0000 0.0000
H 0.5000 0.5000 0.5000
O 0.0000 0.5000 0.5000
O 0.5000 0.0000 0.5000
F 0.5000 0.5000 0.0000

Calculated values
The value obtained for the density of states at the Fermi level is 1.6 states/eV/cell. For the total DFT energy (no corrections), the calculation gives -3.89 eV/atom.



Ac3Pm12Tm: relaxed, PBE.

Unit cell a=5.2374 b=5.2374 c=20.9028 alpha=90.00 beta=90.00 gamma=90.00
Sites, in units of the cell vectors:
Ac 0.0000 0.0000 0.0000
Ac 0.0000 0.0000 0.2531
Ac 0.0000 0.0000 0.7469
Pm 0.0000 0.5000 0.1266
Pm 0.0000 0.5000 0.3809
Pm 0.0000 0.5000 0.6191
Pm 0.0000 0.5000 0.8734
Pm 0.5000 0.0000 0.1266
Pm 0.5000 0.0000 0.3809
Pm 0.5000 0.0000 0.6191
Pm 0.5000 0.0000 0.8734
Pm 0.5000 0.5000 0.0000
Pm 0.5000 0.5000 0.2543
Pm 0.5000 0.5000 0.5000
Pm 0.5000 0.5000 0.7457
Tm 0.0000 0.0000 0.5000

Calculated values
The energy relative to the elements is 0.03 eV/atom. The value obtained for the density of states at the Fermi level is 26.4 states/eV/cell.



TaBrCl2: relaxed, PBE.

Unit cell a=3.3243 b=4.7940 c=4.8408 alpha=90.00 beta=90.00 gamma=90.00
Sites, in units of the cell vectors:
Ta 0.0000 0.0000 0.0000
Br 0.5000 0.0000 0.5000
Cl 0.0000 0.5000 0.5000
Cl 0.5000 0.5000 0.0000

Calculated values
The value obtained for the density of states at the Fermi level is 3.5 states/eV/cell. As for the formation energy from raw total energies: 0.53 eV/atom.



Zr2PtW: relaxed, PBE.

Unit cell a=8.6999 b=8.6999 c=8.6999 alpha=21.63 beta=21.63 gamma=21.63
Sites, in units of the cell vectors:
Zr 0.2501 0.2501 0.2501
Zr 0.7499 0.7499 0.7499
Pt 0.0000 0.0000 0.0000
W 0.5000 0.5000 0.5000

Calculated values
The energy relative to the elements is -0.09 eV/atom. The value obtained for the density of states at the Fermi level is 3.7 states/eV/cell.



CuC: relaxed, PBE.

Unit cell a=3.8169 b=3.8169 c=2.3623 alpha=90.00 beta=90.00 gamma=131.59
Sites, in units of the cell vectors:
Cu 0.0000 0.0000 0.0000
C 0.5000 0.5000 0.5000

Calculated values
The energy relative to the elements is 1.79 eV/atom. The value obtained for the density of states at the Fermi level is 0.8 states/eV/cell.



OsRh2: relaxed, PBE.

Unit cell a=6.0998 b=6.0998 c=6.0998 alpha=154.28 beta=154.28 gamma=36.70
Sites, in units of the cell vectors:
Os 0.0000 0.0000 0.0000
Rh 0.3383 0.3383 0.0000
Rh 0.6617 0.6617 0.0000

Calculated values
The energy relative to the elements is 0.02 eV/atom. The value obtained for the density of states at the Fermi level is 2.6 states/eV/cell.



Ba16H3Pt5: relaxed, PBE.

Unit cell a=8.9673 b=8.9673 c=14.7982 alpha=90.25 beta=90.25 gamma=60.60
Sites, in units of the cell vectors:
Ba 0.0000 0.0000 0.0000
Ba 0.0019 0.0019 0.4959
Ba 0.0275 0.4969 0.9824
Ba 0.1717 0.1717 0.7315
Ba 0.1726 0.6743 0.7277
Ba 0.3367 0.8394 0.2292
Ba 0.3419 0.3419 0.2154
Ba 0.4969 0.0275 0.9824
Ba 0.4991 0.4991 0.9865
Ba 0.5160 0.5160 0.4790
Ba 0.5191 0.9886 0.4825
Ba 0.6743 0.1726 0.7277
Ba 0.6754 0.6754 0.7205
Ba 0.8394 0.3367 0.2292
Ba 0.8391 0.8391 0.2236
Ba 0.9886 0.5191 0.4825
H 0.1749 0.6667 0.1043
H 0.6667 0.1749 0.1043
H 0.8369 0.8369 0.6024
Pt 0.1709 0.1709 0.1078
Pt 0.3401 0.8405 0.6073
Pt 0.3469 0.3469 0.8532
Pt 0.6792 0.6792 0.3464
Pt 0.8405 0.3401 0.6073

Calculated values
The value obtained for the density of states at the Fermi level is 15.7 states/eV/cell. For the total DFT energy (no corrections), the calculation gives -3.43 eV/atom.



La3TmPd2: relaxed, PBE.

Unit cell a=3.9924 b=5.3090 c=8.5292 alpha=73.26 beta=76.53 gamma=89.98
Sites, in units of the cell vectors:
La 0.0000 0.0000 0.0000
La 0.3148 0.8091 0.3715
La 0.6852 0.1909 0.6285
Tm 0.5000 0.5000 0.0000
Pd 0.1326 0.6309 0.7323
Pd 0.8674 0.3691 0.2677

Calculated values
The energy relative to the elements is -0.47 eV/atom. The value obtained for the density of states at the Fermi level is 7.5 states/eV/cell.



PmAlBi2O6: relaxed, PBE.

Unit cell a=5.9326 b=5.9326 c=5.9326 alpha=58.73 beta=58.73 gamma=58.73
Sites, in units of the cell vectors:
Pm 0.0000 0.0000 0.0000
Al 0.5113 0.5113 0.5113
Bi 0.2200 0.2200 0.2200
Bi 0.7221 0.7221 0.7221
O 0.2002 0.3685 0.7727
O 0.3259 0.8383 0.6415
O 0.3685 0.7727 0.2002
O 0.6415 0.3259 0.8383
O 0.7727 0.2002 0.3685
O 0.8383 0.6415 0.3259

Calculated values
The value obtained for the density of states at the Fermi level is 0.0 states/eV/cell. As for the formation energy from raw total energies: -2.11 eV/atom.



Er2Si2Rh5: relaxed, PBE.

Unit cell a=4.1202 b=4.1202 c=8.7317 alpha=90.00 beta=90.00 gamma=90.00
Sites, in units of the cell vectors:
Er 0.0000 0.0000 0.0000
Er 0.0000 0.0000 0.5000
Si 0.5000 0.5000 0.1386
Si 0.5000 0.5000 0.8614
Rh 0.0000 0.5000 0.2646
Rh 0.0000 0.5000 0.7354
Rh 0.5000 0.0000 0.2646
Rh 0.5000 0.0000 0.7354
Rh 0.5000 0.5000 0.5000

Calculated values
The value obtained for the density of states at the Fermi level is 6.5 states/eV/cell. As for the formation energy from raw total energies: -0.91 eV/atom.